Entry 1:
The following is a DFT calculation (PBE) of a geometry-optimized KYPb2 structure.

Total magnetization (Bohr magnetons per cell): 0.00
Relative energy among the computed polymorphs (meV per atom): 387
DOS(E_F) (states/eV/cell): 3.67
ΔE_f (eV per atom): 0.023
Energy (eV for the cell shown): -14.888
SG: No. 35

Lattice parameters (Å, degrees): 3.8696 3.8696 9.9344 90.00 90.00 99.07
Fractional positions:
Pb (0.5000, 0.5000, 0.2448)
Pb (0.0000, 0.0000, 0.0515)
K (0.5000, 0.5000, 0.7733)
Y (0.0000, 0.0000, 0.4303)

---

Entry 2:
The following is a DFT calculation (PBE) of a geometry-optimized KYPb2 structure.

Total magnetization (Bohr magnetons per cell): 0.00
Relative energy among the computed polymorphs (meV per atom): 152
DOS(E_F) (states/eV/cell): 0.92
ΔE_f (eV per atom): -0.212
Energy (eV for the cell shown): -15.828
SG: No. 12

Lattice parameters (Å, degrees): 5.5041 5.5041 7.5822 79.61 79.61 42.21
Fractional positions:
Y (0.7500, 0.7500, 0.7500)
Pb (0.4950, 0.4950, 0.5763)
Pb (0.0050, 0.0050, 0.9237)
K (0.2500, 0.2500, 0.2500)